No. 1
A relaxed structure of Sm3Co8Sn4. Source: Alexandria, functional GGA-PBEsol.

Lattice parameters (Å, degrees): 7.403 8.809 8.809 120.00 90.00 90.00
Fractional coordinates of all 30 atoms:
Co 0.951 0.843 0.157
Co 0.262 0.904 0.096
Co 0.262 0.904 0.808
Co 0.007 0.000 0.000
Co 0.262 0.192 0.096
Co 0.451 0.157 0.315
Co 0.762 0.096 0.904
Co 0.451 0.685 0.843
Co 0.507 0.000 0.000
Co 0.951 0.315 0.157
Co 0.951 0.843 0.685
Co 0.762 0.096 0.192
Co 0.577 0.667 0.333
Co 0.451 0.157 0.843
Co 0.762 0.808 0.904
Co 0.077 0.333 0.667
Sm 0.783 0.059 0.530
Sm 0.783 0.470 0.941
Sm 0.783 0.470 0.530
Sm 0.283 0.530 0.470
Sm 0.283 0.530 0.059
Sm 0.283 0.941 0.470
Sn 0.081 0.660 0.830
Sn 0.081 0.170 0.830
Sn 0.447 0.333 0.667
Sn 0.581 0.340 0.170
Sn 0.947 0.667 0.333
Sn 0.581 0.830 0.660
Sn 0.581 0.830 0.170
Sn 0.081 0.170 0.340

- Density of states at the Fermi level: 30.0 states/eV per cell
- Total magnetization: 0.39 μB/atom
- E_form: -0.33 eV per atom
- SG: P6_3mc

---

No. 2
A relaxed structure of NaAlSi3O8. Source: Alexandria, functional GGA-PBEsol.

Lattice parameters (Å, degrees): 7.098 7.697 7.674 115.77 107.32 100.27
Fractional coordinates of all 26 atoms:
O 0.273 0.720 0.289
O 0.436 0.330 0.053
O 0.972 0.852 0.120
O 0.727 0.280 0.711
O 0.028 0.148 0.880
O 0.728 0.413 0.420
O 0.210 0.336 0.715
O 0.368 0.079 0.297
O 0.790 0.664 0.285
O 0.194 0.715 0.922
O 0.272 0.587 0.580
O 0.235 0.976 0.670
O 0.632 0.921 0.703
O 0.806 0.285 0.078
O 0.765 0.024 0.330
O 0.564 0.670 0.947
Al 0.645 0.196 0.441
Al 0.355 0.804 0.559
Si 0.211 0.840 0.167
Si 0.686 0.420 0.205
Si 0.789 0.160 0.833
Si 0.314 0.580 0.795
Si 0.769 0.805 0.175
Si 0.231 0.195 0.825
Na 0.105 0.243 0.301
Na 0.895 0.757 0.699

- Uncorrected formation energy: -2.788 eV per atom
- Density of states at the Fermi level: 0.0 states/eV per cell
- Total magnetization: 0.00 μB/atom
- SG: P-1

---

No. 3
A relaxed structure of Ca2Ta. Source: Alexandria, functional GGA-PBEsol.

Lattice parameters (Å, degrees): 3.146 3.146 8.396 100.80 100.80 90.00
Fractional coordinates of all 3 atoms:
Ca 0.646 0.646 0.291
Ca 0.354 0.354 0.709
Ta 0.000 0.000 0.000

- Density of states at the Fermi level: 5.1 states/eV per cell
- Total magnetization: 0.00 μB/atom
- E_form: 0.67 eV per atom
- SG: I4/mmm

---

No. 4
A relaxed structure of MnSnAsBr2. Source: Alexandria, functional GGA-PBEsol.

Lattice parameters (Å, degrees): 5.359 5.359 5.394 90.00 90.00 90.00
Fractional coordinates of all 5 atoms:
Br 0.000 0.500 0.000
Br 0.500 0.000 0.000
Sn 0.000 0.000 0.000
As 0.000 0.000 0.500
Mn 0.500 0.500 0.500

- Uncorrected formation energy: 0.563 eV per atom
- Density of states at the Fermi level: 2.3 states/eV per cell
- Total magnetization: 0.99 μB/atom
- SG: P4/mmm

---

No. 5
A relaxed structure of Mg2Bi2As. Source: Alexandria, functional GGA-PBEsol.

Lattice parameters (Å, degrees): 4.001 8.061 8.061 90.00 90.00 90.00
Fractional coordinates of all 10 atoms:
Bi 0.000 0.334 0.834
Bi 0.000 0.666 0.166
Bi 0.000 0.166 0.334
Bi 0.000 0.834 0.666
Mg 0.500 0.361 0.139
Mg 0.500 0.861 0.361
Mg 0.500 0.139 0.639
Mg 0.500 0.639 0.861
As 0.000 0.500 0.500
As 0.000 0.000 0.000

- Density of states at the Fermi level: 4.2 states/eV per cell
- Total magnetization: 0.00 μB/atom
- E_form: 0.06 eV per atom
- SG: P4/mbm

---

No. 6
A relaxed structure of CoRhSe2. Source: Alexandria, functional GGA-PBEsol.

Lattice parameters (Å, degrees): 4.409 4.409 4.409 60.00 60.00 60.00
Fractional coordinates of all 4 atoms:
Rh 0.250 0.250 0.250
Se 0.750 0.750 0.750
Se 0.000 0.000 0.000
Co 0.500 0.500 0.500

- Uncorrected formation energy: 0.575 eV per atom
- Density of states at the Fermi level: 5.5 states/eV per cell
- Total magnetization: 0.52 μB/atom
- SG: F-43m

---

What is the formula in the fourth record?
MnSnAsBr2

---

Which formula does entry 6 have?
CoRhSe2